NaCuSn (PBE, relaxed); space group = P1; DFT formation energy = -0.03 eV/atom
1.0
4.3191 0.0000 0.0000
2.1309 5.0656 0.0000
2.1388 1.3215 6.4541
Na Cu Sn
2 2 2
direct
0.0000 0.0000 0.0000
0.2427 0.0513 0.4581
0.2749 0.4424 0.0054
0.4778 0.4078 0.6312
0.6328 0.5050 0.2309
0.8070 0.6239 0.7584